DFT (PBE+U) results for Ba2CaV2CoF14 after structural relaxation. Values from VASP.

Output
The electronic total energy comes out at -234.0 eV per cell. The volume comes out at 14.38 A^3/atom. The magnetic moment comes out at 13.972 μB per cell. The density of states at the Fermi level is 0.00 states/eV/f.u. As for the space group: C2/c (15).

```
&SYSTEM
  ibrav = 0, nat = 40, ntyp = 5
/
ATOMIC_SPECIES
F 19.00 F.upf
Ba 137.33 Ba.upf
Co 58.93 Co.upf
V 50.94 V.upf
Ca 40.08 Ca.upf
CELL_PARAMETERS angstrom
7.4782 -0.0057 0.0046
5.4985 5.0685 0.0046
0.3023 0.1179 15.1681
ATOMIC_POSITIONS angstrom
F 4.5889 3.0034 6.8878
F 8.6901 2.1773 8.2895
F 5.1935 0.3041 11.8019
F 4.6896 3.0605 12.0631
F 8.1590 1.3552 0.2334
F 3.5641 0.9923 8.9074
F 5.1200 3.8256 14.9439
F 7.4675 2.4634 5.7758
F 7.3139 3.3034 13.3599
F 7.7175 4.2240 0.7054
F 9.7149 4.1885 6.2698
F 8.0855 4.8766 3.3754
F 9.4028 1.9464 10.9595
F 10.1357 3.5561 13.8539
F 3.8762 3.2343 4.2178
F 7.7125 0.5803 12.7568
F 7.0722 4.5872 7.8175
F 7.9070 4.3157 10.6982
F 5.9651 1.8773 1.8174
F 5.5665 4.6004 2.4205
F 5.8115 2.7173 9.4015
F 6.2068 0.5935 7.3598
F 5.5615 0.9567 14.4718
F 3.1433 1.6246 1.3234
F 8.5894 2.1202 3.1142
F 5.9166 4.7370 5.1728
F 5.3720 0.8650 4.4791
F 7.3624 0.4437 10.0045
Ba 10.4446 4.3953 1.8502
Ba 2.8344 0.7855 13.3271
Ba 2.4663 1.2826 5.7430
Ba 10.8127 3.8981 9.4343
Co 6.4884 2.5314 0.0046
Co 6.6395 2.5904 7.5886
V 1.5604 0.6529 1.8696
V 11.7186 4.5278 13.3077
V 11.5375 4.5454 5.7237
V 1.7415 0.6353 9.4536
Ca 6.4460 2.8632 3.7966
Ca 6.8330 2.3175 11.3807
```